# 1
Below is crystalline CuBrCl2 at its relaxed geometry, with properties calculated at the PBE level.

```
CuBrCl2
1.0
5.2973 -1.7914 0.0000
5.2973 1.7914 0.0000
-0.6758 0.0000 5.5288
Cu Br Cl
1 1 2
Direct
0.0000 0.0000 0.0000
0.6596 0.6596 0.1927
0.3697 0.3697 0.8786
0.5270 0.5270 0.5177
```

Summary:
As for the space-group type: Cm. The formation energy without anion corrections is -0.052 eV per atom. Its energy above the most stable polymorph in this dataset is 0.2000 eV per atom. As for the total moment: 0.00 μB per cell.

# 2
Below is crystalline SnGeAs2Se at its relaxed geometry, with properties calculated at the PBE level.

```
SnGeAs2Se
1.0
4.9743 0.0000 0.0000
0.0000 4.9743 0.0000
0.0000 0.0000 5.0524
Sn Ge As Se
1 1 2 1
Direct
0.0000 0.0000 0.0000
0.5000 0.5000 0.5000
0.0000 0.5000 0.5000
0.5000 0.0000 0.5000
0.5000 0.5000 0.0000
```

Summary:
As for the space-group type: P4/mmm. The formation energy without anion corrections is 0.469 eV per atom. Its energy above the most stable polymorph in this dataset is 0.0000 eV per atom. As for the total moment: 0.00 μB per cell.

# 3
Below is crystalline Ir2PbAu at its relaxed geometry, with properties calculated at the PBE level.

```
Ir2PbAu
1.0
2.8744 0.0000 0.0000
0.0000 3.6644 0.0000
-1.3839 0.0000 7.4384
Ir Pb Au
2 1 1
Direct
0.0000 0.0000 0.0000
0.4247 0.5000 0.8426
0.6309 0.5000 0.2795
0.8097 0.0000 0.6064
```

Summary:
As for the space-group type: Pm. The value obtained for the final energy is -5.814 eV/atom. As for the total moment: 0.00 μB per cell.

# 4
Below is crystalline Sc8Sn2Te at its relaxed geometry, with properties calculated at the PBE level.

```
Sc8Sn2Te
1.0
8.5914 -2.4250 0.0000
8.5914 2.4250 0.0000
-0.1697 0.0000 6.2395
Sc Sn Te
8 2 1
Direct
0.0346 0.0346 0.2406
0.2187 0.2187 0.1462
0.3363 0.3363 0.5868
0.4074 0.4074 0.0600
0.5926 0.5926 0.9400
0.6637 0.6637 0.4132
0.7813 0.7813 0.8538
0.9654 0.9654 0.7594
0.1659 0.1659 0.6861
0.8341 0.8341 0.3139
0.5000 0.5000 0.5000
```

Summary:
As for the space-group type: C2/m. The formation energy without anion corrections is -0.467 eV per atom. As for the total moment: 0.01 μB per cell.

# 5
Below is crystalline Ac2Pr2Tc at its relaxed geometry, with properties calculated at the PBE level.

```
Ac2Pr2Tc
1.0
3.9383 -6.4260 0.0000
3.9383 6.4260 0.0000
-3.3350 0.0000 7.0522
Ac Pr Tc
4 4 2
Direct
0.1859 0.7367 0.7453
0.2633 0.8141 0.2547
0.7367 0.1859 0.7453
0.8141 0.2633 0.2547
0.2455 0.2455 0.5828
0.2809 0.2809 0.1051
0.7191 0.7191 0.8949
0.7545 0.7545 0.4172
0.3768 0.6232 0.5000
0.6232 0.3768 0.5000
```

Summary:
As for the space-group type: C2/m. The value obtained for the final energy is -5.555 eV/atom. As for the total moment: 0.00 μB per cell.

# 6
Below is crystalline KCdInBrO at its relaxed geometry, with properties calculated at the PBE level.

```
KCdInBrO
1.0
4.7536 0.0000 0.0000
0.0000 3.5067 0.0000
-0.0234 0.0000 8.9114
K Cd In Br O
1 1 1 1 1
Direct
0.0000 0.0000 0.0000
0.4957 0.0000 0.5564
0.9947 0.0000 0.3740
0.4989 0.5000 0.8193
0.9954 0.5000 0.2336
```

Summary:
As for the space-group type: Pm. The formation energy without anion corrections is -0.939 eV per atom. Its energy above the most stable polymorph in this dataset is 0.0203 eV per atom. As for the total moment: 0.00 μB per cell.

# 7
Below is crystalline AcNdAu2 at its relaxed geometry, with properties calculated at the PBE level.

```
AcNdAu2
1.0
0.0000 3.8207 3.8207
3.8207 0.0000 3.8207
3.8207 3.8207 0.0000
Ac Nd Au
1 1 2
Direct
0.0000 0.0000 0.0000
0.5000 0.5000 0.5000
0.2500 0.2500 0.2500
0.7500 0.7500 0.7500
```

Summary:
As for the space-group type: Fm-3m. Its energy above the most stable polymorph in this dataset is 0.0531 eV per atom. As for the total moment: 0.00 μB per cell.

# 8
Below is crystalline LaTb3Er5 at its relaxed geometry, with properties calculated at the PBE level.

```
LaTb3Er5
1.0
9.5689 -3.0054 0.0000
9.5689 3.0054 0.0000
-4.3486 0.0000 10.2993
La Tb Er
2 6 10
Direct
0.1372 0.8628 0.7500
0.8628 0.1372 0.2500
0.0000 0.0000 0.0000
0.0000 0.0000 0.5000
0.0484 0.5961 0.6369
0.4039 0.9516 0.8631
0.5961 0.0484 0.1369
0.9516 0.4039 0.3631
0.0915 0.5686 0.9700
0.0933 0.5789 0.3040
0.3748 0.6252 0.2500
0.4211 0.9067 0.1960
0.4314 0.9085 0.5300
0.5686 0.0915 0.4700
0.5789 0.0933 0.8040
0.6252 0.3748 0.7500
0.9067 0.4211 0.6960
0.9085 0.4314 0.0300
```

Summary:
As for the space-group type: C2/c. Its energy above the most stable polymorph in this dataset is 0.0000 eV per atom. As for the total moment: 0.00 μB per cell.

# 9
Below is crystalline SbPb3 at its relaxed geometry, with properties calculated at the PBE level.

```
SbPb3
1.0
1.8803 -2.8465 0.0000
1.8803 2.8465 0.0000
0.0000 0.0000 11.3595
Sb Pb
1 3
Direct
0.0000 0.0000 0.0000
0.0000 0.0000 0.5000
0.5000 0.5000 0.2420
0.5000 0.5000 0.7580
```

Summary:
As for the space-group type: Cmmm. The formation energy without anion corrections is 0.076 eV per atom. As for the total moment: 0.00 μB per cell.

# 10
Below is crystalline Rb2Tl2Cd at its relaxed geometry, with properties calculated at the PBE level.

```
Rb2Tl2Cd
1.0
-2.6140 2.6140 8.2565
2.6140 -2.6140 8.2565
2.6140 2.6140 -8.2565
Rb Tl Cd
2 2 1
Direct
0.2500 0.7500 0.5000
0.7500 0.2500 0.5000
0.0889 0.0889 0.0000
0.9111 0.9111 0.0000
0.5000 0.5000 0.0000
```

Summary:
As for the space-group type: I4/mmm. Its energy above the most stable polymorph in this dataset is 0.3132 eV per atom. As for the total moment: 0.00 μB per cell.

# 11
Below is crystalline AcLu2Ru at its relaxed geometry, with properties calculated at the PBE level.

```
AcLu2Ru
1.0
1.9955 1.1521 8.9631
-1.9955 1.1521 8.9631
0.0000 -2.3043 8.9631
Ac Lu Ru
1 2 1
Direct
0.0000 0.0000 0.0000
0.2181 0.2181 0.2181
0.7819 0.7819 0.7819
0.5000 0.5000 0.5000
```

Summary:
As for the space-group type: R-3m. Its energy above the most stable polymorph in this dataset is 0.1630 eV per atom. As for the total moment: 0.00 μB per cell.

# 12
Below is crystalline Fe2W at its relaxed geometry, with properties calculated at the PBE level.

```
Fe2W
1.0
1.3092 -6.8652 0.0000
1.3092 6.8652 0.0000
0.0000 0.0000 4.4756
Fe W
4 2
Direct
0.0419 0.9581 0.7500
0.3912 0.6088 0.7500
0.6088 0.3912 0.2500
0.9581 0.0419 0.2500
0.2929 0.7071 0.2500
0.7071 0.2929 0.7500
```

Summary:
As for the space-group type: Cmcm. The value obtained for the final energy is -9.660 eV/atom. As for the total moment: 8.55 μB per cell.

N(E_F) for the records above, in order: 2.90, 5.37, 3.31, 14.86, 10.77, 0.56, 3.18, 27.79, 1.65, 3.44, 2.68, 6.82 states/eV/cell